Entry 1
First-principles (PBE) data for Sm2ErTl2 after structural relaxation, as listed in Alexandria via LeMat-Bulk.

a = 3.7887 Å, b = 5.4139 Å, c = 14.3398 Å
α = 90.00°, β = 97.62°, γ = 90.00°
Closest atoms and distances in Å follow each position.
Space group P2_1/m (No. 11)
One atom of each set of equivalent atoms:
Sm (0.0484, 0.2500, 0.0966) [2 per cell]  8 Tl 3.30-3.41
Sm (0.2390, 0.2500, 0.4762) [2 per cell]  2 Tl 3.26-3.27, 4 Sm 3.37-3.38
Er (0.1484, 0.7500, 0.2991) [2 per cell]  6 Tl 3.31-3.37, 2 Sm 3.70
Tl (0.3565, 0.7500, 0.7110) [2 per cell]  4 Sm 3.26-3.33, 4 Er 3.31
Tl (0.4485, 0.2500, 0.8969) [2 per cell]  6 Sm 3.30-3.41, 2 Er 3.37

Entry 2
First-principles (PBE) data for Sm2ErTl2 after structural relaxation, as listed in Alexandria via LeMat-Bulk.

a = 4.8560 Å, b = 6.9057 Å, c = 9.0262 Å
α = 90.00°, β = 90.00°, γ = 90.00°
Closest atoms and distances in Å follow each position.
Space group Immm (No. 71)
One atom of each set of equivalent atoms:
Sm (0.0000, 0.0000, 0.1937) [4 per cell]  6 Tl 3.36-3.37, 1 Sm 3.50, 2 Er 3.68
Er (0.0000, 0.5000, 0.0000) [2 per cell]  4 Tl 3.10
Tl (0.0000, 0.2792, 0.5000) [4 per cell]  1 Tl 3.05, 2 Er 3.10, 6 Sm 3.36-3.37

Which is most stable? The ranking, best first, is entry 1, entry 2.

Entry 1
First-principles (PBE) data for SmEr3Tl after structural relaxation, as listed in Alexandria via LeMat-Bulk.

a = 7.9697 Å, b = 13.8073 Å, c = 6.0603 Å
α = 90.00°, β = 90.00°, γ = 90.00°
Closest atoms and distances in Å follow each position.
Space group Cmcm (No. 63)
One atom of each set of equivalent atoms:
Sm (0.0000, 0.1670, 0.2500) [4 per cell]  12 Er 3.59-4.01
Er (0.0000, 0.3060, 0.7500) [4 per cell]  2 Tl 3.08, 2 Er 3.33
Er (0.2093, 0.0974, 0.7500) [8 per cell]  2 Tl 3.08, 2 Er 3.33-3.34
Tl (0.0000, 0.5000, 0.0000) [4 per cell]  2 Tl 3.03, 6 Er 3.08

Entry 2
First-principles (PBE) data for SmEr3Tl after structural relaxation, as listed in Alexandria via LeMat-Bulk.

a = 4.8239 Å, b = 25.3314 Å, c = 4.7955 Å
α = 90.00°, β = 90.00°, γ = 90.00°
Closest atoms and distances in Å follow each position.
Space group Cmcm (No. 63)
One atom of each set of equivalent atoms:
Sm (0.0000, 0.1481, 0.2500) [4 per cell]  4 Tl 3.40, 8 Er 3.45-3.53
Er (0.0000, 0.0466, 0.7500) [4 per cell]  8 Er 3.36-3.45, 2 Sm 3.52, 2 Tl 3.62
Er (0.0000, 0.2506, 0.7500) [4 per cell]  4 Er 3.40, 4 Tl 3.42-3.45, 4 Sm 3.52-3.53
Er (0.0000, 0.4490, 0.7500) [4 per cell]  8 Er 3.40-3.52, 2 Sm 3.45, 2 Tl 3.52
Tl (0.0000, 0.3470, 0.2500) [4 per cell]  4 Sm 3.40, 8 Er 3.42-3.62

Which is most stable? The ranking, best first, is entry 2, entry 1.

Entry 1
First-principles (PBE) data for SmEr2Tl4 after structural relaxation, as listed in Alexandria via LeMat-Bulk.

a = 7.5839 Å, b = 7.5839 Å, c = 7.3285 Å
α = 90.00°, β = 90.00°, γ = 90.00°
Closest atoms and distances in Å follow each position.
Space group I4/mmm (No. 139)
One atom of each set of equivalent atoms:
Sm (0.0000, 0.0000, 0.0000) [2 per cell]  8 Tl 3.25
Er (0.0000, 0.5000, 0.0000) [4 per cell]  8 Tl 3.25
Tl (0.2500, 0.2500, 0.2500) [8 per cell]  4 Er 3.25, 2 Sm 3.25

Entry 2
First-principles (PBE) data for SmEr2Tl4 after structural relaxation, as listed in Alexandria via LeMat-Bulk.

a = 4.8878 Å, b = 4.8878 Å, c = 30.2936 Å
α = 90.00°, β = 90.00°, γ = 120.00°
Closest atoms and distances in Å follow each position.
Space group R-3m (No. 166, hexagonal axes)
One atom of each set of equivalent atoms:
Sm (0.0000, 0.0000, 0.0000) [3 per cell]  6 Tl 3.22
Er (0.0000, 0.0000, 0.1299) [6 per cell]  4 Tl 3.05-3.38
Tl (0.0000, 0.0000, 0.2414) [6 per cell]  4 Er 3.05-3.38, 3 Tl 3.08
Tl (0.0000, 0.0000, 0.3843) [6 per cell]  3 Tl 3.08, 3 Sm 3.22

Which is most stable? The ranking, best first, is entry 1, entry 2.

Entry 1
First-principles (PBE) data for SmYErTl after structural relaxation, as listed in Alexandria via LeMat-Bulk.

a = 4.8356 Å, b = 4.8791 Å, c = 4.9177 Å
α = 90.00°, β = 90.00°, γ = 90.00°
Closest atoms and distances in Å follow each position.
Space group Pmmm (No. 47)
One atom of each set of equivalent atoms:
Sm (0.0000, 0.0000, 0.0000) [1 per cell]  4 Er 3.43, 4 Y 3.45, 4 Tl 3.46
Y (0.5000, 0.0000, 0.5000) [1 per cell]  4 Tl 3.43, 4 Sm 3.45, 4 Er 3.46
Er (0.5000, 0.5000, 0.0000) [1 per cell]  4 Sm 3.43, 4 Tl 3.45, 4 Y 3.46
Tl (0.0000, 0.5000, 0.5000) [1 per cell]  4 Y 3.43, 4 Er 3.45, 4 Sm 3.46

Entry 2
First-principles (PBE) data for SmYErTl after structural relaxation, as listed in Alexandria via LeMat-Bulk.

a = 7.7748 Å, b = 7.7748 Å, c = 7.7748 Å
α = 90.00°, β = 90.00°, γ = 90.00°
Closest atoms and distances in Å follow each position.
Space group F-43m (No. 216)
One atom of each set of equivalent atoms:
Sm (0.0000, 0.0000, 0.0000) [4 per cell]  4 Er 3.37, 4 Tl 3.37
Y (0.0000, 0.0000, 0.5000) [4 per cell]  4 Tl 3.37, 4 Er 3.37
Er (0.2500, 0.2500, 0.7500) [4 per cell]  4 Sm 3.37, 4 Y 3.37
Tl (0.2500, 0.2500, 0.2500) [4 per cell]  4 Sm 3.37, 4 Y 3.37

Which is most stable? The ranking, best first, is entry 1, entry 2.

Entry 1
First-principles (PBE) data for SmEr5Tm5 after structural relaxation, as listed in Alexandria via LeMat-Bulk.

a = 6.7311 Å, b = 6.8994 Å, c = 8.1989 Å
α = 76.47°, β = 77.00°, γ = 73.00°
Closest atoms and distances in Å follow each position.
Space group P-1 (No. 2)
One atom of each set of equivalent atoms:
Sm (0.0000, 0.0000, 0.0000) [1 per cell]  6 Er 3.45-3.57, 4 Tm 3.46-3.65
Er (0.0000, 0.5000, 0.0000) [1 per cell]  6 Tm 3.32-3.41, 2 Sm 3.45, 4 Er 3.64-3.71
Er (0.1592, 0.6276, 0.3584) [2 per cell]  4 Er 3.31-3.71, 7 Tm 3.39-3.65, 1 Sm 3.56
Er (0.3268, 0.7622, 0.6555) [2 per cell]  7 Tm 3.24-3.56, 1 Er 3.31, 1 Sm 3.57
Tm (0.2077, 0.1367, 0.3201) [2 per cell]  1 Tm 3.36, 7 Er 3.37-3.56, 1 Sm 3.65
Tm (0.3524, 0.2481, 0.7164) [2 per cell]  7 Er 3.32-3.65, 2 Tm 3.36-3.65, 1 Sm 3.46
Tm (0.5000, 0.5000, 0.0000) [1 per cell]  6 Er 3.24-3.42

Entry 2
First-principles (PBE) data for SmEr5Tm5 after structural relaxation, as listed in Alexandria via LeMat-Bulk.

a = 18.6361 Å, b = 5.8267 Å, c = 6.8559 Å
α = 90.00°, β = 110.64°, γ = 90.00°
Closest atoms and distances in Å follow each position.
Space group C2/m (No. 12)
One atom of each set of equivalent atoms:
Sm (0.0000, 0.0000, 0.0000) [2 per cell]  2 Er 2.91
Er (0.0000, 0.5000, 0.0000) [2 per cell]  2 Sm 2.91, 2 Tm 2.95
Er (0.1799, 0.0000, 0.4269) [4 per cell]  3 Tm 3.16-3.36, 2 Er 3.37-3.48
Er (0.1795, 0.0000, 0.9348) [4 per cell]  5 Tm 3.16-3.52, 2 Er 3.37-3.48, 1 Sm 3.53
Tm (0.0000, 0.0000, 0.5000) [2 per cell]  2 Sm 3.43, 4 Er 3.56-3.61, 4 Tm 3.64
Tm (0.1247, 0.5000, 0.6303) [4 per cell]  4 Tm 3.51-3.64, 6 Er 3.52-3.81
Tm (0.1693, 0.5000, 0.1739) [4 per cell]  3 Er 2.95-3.16

Which is most stable? The ranking, best first, is entry 1, entry 2.

Entry 1
First-principles (PBE) data for Sm4ErTm7 after structural relaxation, as listed in Alexandria via LeMat-Bulk.

a = 12.0343 Å, b = 5.8294 Å, c = 12.6820 Å
α = 90.00°, β = 118.29°, γ = 90.00°
Closest atoms and distances in Å follow each position.
Space group C2/m (No. 12)
One atom of each set of equivalent atoms:
Sm (0.0560, 0.0000, 0.3341) [4 per cell]  4 Tm 3.25-3.49, 2 Sm 3.57
Sm (0.1359, 0.5000, 0.7768) [4 per cell]  7 Tm 3.34-3.67, 2 Sm 3.57
Er (0.0000, 0.5000, 0.0000) [2 per cell]  4 Tm 2.91-3.12
Tm (0.0000, 0.0000, 0.0000) [2 per cell]  2 Er 2.91, 2 Tm 3.13
Tm (0.1380, 0.5000, 0.5059) [4 per cell]  4 Tm 3.25-3.58, 5 Sm 3.25-3.54
Tm (0.2123, 0.0000, 0.9243) [4 per cell]  1 Er 3.12, 4 Tm 3.13-3.37, 4 Sm 3.34-3.35
Tm (0.2408, 0.5000, 0.3099) [4 per cell]  4 Tm 3.26-3.58, 1 Er 3.61

Entry 2
First-principles (PBE) data for Sm4ErTm7 after structural relaxation, as listed in Alexandria via LeMat-Bulk.

a = 6.5022 Å, b = 6.7736 Å, c = 8.9565 Å
α = 84.63°, β = 77.03°, γ = 81.21°
Closest atoms and distances in Å follow each position.
Space group P-1 (No. 2)
One atom of each set of equivalent atoms:
Sm (0.1389, 0.3061, 0.2869) [2 per cell]  8 Tm 3.29-3.65, 1 Er 3.38, 2 Sm 3.48-3.50
Sm (0.3357, 0.8840, 0.6918) [2 per cell]  7 Tm 3.37-3.66, 2 Sm 3.48-3.50
Er (0.5000, 0.5000, 0.0000) [1 per cell]  2 Sm 3.38, 4 Tm 3.39-3.44
Tm (0.0120, 0.2526, 0.9519) [2 per cell]  5 Tm 3.33-3.51, 4 Sm 3.35-3.66, 1 Er 3.44
Tm (0.1821, 0.7960, 0.3552) [2 per cell]  5 Tm 3.34-3.66, 4 Sm 3.43-3.51
Tm (0.3127, 0.3942, 0.6181) [2 per cell]  5 Tm 3.26-3.60, 5 Sm 3.29-3.65
Tm (0.5000, 0.0000, 0.0000) [1 per cell]  4 Sm 3.37-3.64, 2 Er 3.39, 4 Tm 3.46-3.66

Which is most stable? The ranking, best first, is entry 2, entry 1.

Entry 1
First-principles (PBE) data for Sm4ErTm3 after structural relaxation, as listed in Alexandria via LeMat-Bulk.

a = 11.3511 Å, b = 7.2697 Å, c = 6.2680 Å
α = 90.00°, β = 90.00°, γ = 90.00°
Closest atoms and distances in Å follow each position.
Space group Pmn2_1 (No. 31)
One atom of each set of equivalent atoms:
Sm (0.0000, 0.1284, 0.0000) [2 per cell]  4 Tm 3.53-3.69, 6 Sm 3.53-3.66, 2 Er 3.62-3.63
Sm (0.0000, 0.8721, 0.4977) [2 per cell]  4 Tm 3.53-3.64, 6 Sm 3.53-3.66, 2 Er 3.59-3.68
Sm (0.2492, 0.8721, 0.8342) [4 per cell]  5 Tm 3.52-3.68, 6 Sm 3.53-3.64, 1 Er 3.54
Er (0.0000, 0.3783, 0.5007) [2 per cell]  6 Tm 3.50-3.60, 6 Sm 3.54-3.68
Tm (0.0000, 0.6208, 0.0000) [2 per cell]  4 Tm 3.50-3.52, 6 Sm 3.52-3.69, 2 Er 3.59-3.60
Tm (0.2501, 0.3788, 0.8331) [4 per cell]  4 Tm 3.50-3.60, 2 Er 3.50-3.52, 6 Sm 3.53-3.68

Entry 2
First-principles (PBE) data for Sm4ErTm3 after structural relaxation, as listed in Alexandria via LeMat-Bulk.

a = 25.8076 Å, b = 5.6158 Å, c = 3.6077 Å
α = 90.00°, β = 90.06°, γ = 90.00°
Closest atoms and distances in Å follow each position.
Space group C2/m (No. 12)
One atom of each set of equivalent atoms:
Sm (0.1025, 0.0000, 0.0001) [4 per cell]  1 Sm 3.10, 2 Er 3.20
Sm (0.2227, 0.0000, 0.9999) [4 per cell]  3 Sm 3.10-3.14
Er (0.0000, 0.0000, 0.5000) [2 per cell]  4 Sm 3.20, 4 Tm 3.34
Tm (0.0000, 0.5000, 0.0000) [2 per cell]  4 Er 3.34, 2 Tm 3.61
Tm (0.1518, 0.5000, 0.5000) [4 per cell]  10 Sm 3.57-3.81, 2 Tm 3.61

Which is most stable? The ranking, best first, is entry 1, entry 2.

Entry 1
First-principles (PBE) data for Sm2ErTm after structural relaxation, as listed in Alexandria via LeMat-Bulk.

a = 5.0586 Å, b = 5.0586 Å, c = 4.9938 Å
α = 90.00°, β = 90.00°, γ = 90.00°
Closest atoms and distances in Å follow each position.
Space group P4/mmm (No. 123)
One atom of each set of equivalent atoms:
Sm (0.0000, 0.5000, 0.0000) [2 per cell]  4 Er 3.55, 4 Tm 3.55, 4 Sm 3.58
Er (0.0000, 0.0000, 0.5000) [1 per cell]  8 Sm 3.55, 4 Tm 3.58
Tm (0.5000, 0.5000, 0.5000) [1 per cell]  8 Sm 3.55, 4 Er 3.58

Entry 2
First-principles (PBE) data for Sm2ErTm after structural relaxation, as listed in Alexandria via LeMat-Bulk.

a = 7.2481 Å, b = 11.3927 Å, c = 3.6269 Å
α = 90.00°, β = 119.93°, γ = 90.00°
Closest atoms and distances in Å follow each position.
Space group Cm (No. 8)
One atom of each set of equivalent atoms:
Sm (0.0000, 0.2496, 0.0000) [4 per cell]  3 Tm 3.53-3.54, 3 Er 3.53-3.54, 6 Sm 3.62-3.63
Er (0.3336, 0.0000, 0.3361) [2 per cell]  6 Sm 3.53-3.54, 4 Tm 3.62-3.63, 2 Er 3.63
Tm (0.3331, 0.5000, 0.3357) [2 per cell]  6 Sm 3.53-3.54, 4 Er 3.62-3.63, 2 Tm 3.63

Entry 3
First-principles (PBE) data for Sm2ErTm after structural relaxation, as listed in Alexandria via LeMat-Bulk.

a = 8.0281 Å, b = 8.0281 Å, c = 8.0281 Å
α = 90.00°, β = 90.00°, γ = 90.00°
Closest atoms and distances in Å follow each position.
Space group Fm-3m (No. 225)
One atom of each set of equivalent atoms:
Sm (0.2500, 0.2500, 0.2500) [8 per cell]  4 Er 3.48, 4 Tm 3.48
Er (0.0000, 0.0000, 0.0000) [4 per cell]  8 Sm 3.48
Tm (0.0000, 0.0000, 0.5000) [4 per cell]  8 Sm 3.48

Which is most stable? The ranking, best first, is entry 2, entry 1, entry 3.